{
  "formula": "LiAu2",
  "functional": "PBE",
  "state": "optimized geometry",
  "formation_energy_ev_per_atom": -0.353,
  "total_energy_ev_per_atom": -3.18,
  "density_g_cm3": 13.18,
  "lattice_angstrom": [[5.5172, 0.0454, -0.0419], [4.7423, 2.8200, -0.0419], [1.5830, 0.4421, 6.5705]],
  "species": ["Li", "Li", "Au", "Au", "Au", "Au"],
  "frac_coords": [[0.0437, 0.0437, 0.4032], [0.7326, 0.7326, 0.0368], [0.3930, 0.3930, 0.7215], [0.0117, 0.0117, 0.0208], [0.3197, 0.3197, 0.3200], [0.6660, 0.6660, 0.6643]]
}

---

{
  "formula": "K2SbRu",
  "functional": "PBE",
  "state": "optimized geometry",
  "total_energy_ev_per_atom": -3.70,
  "e_form_raw_mev_per_atom": 200,
  "density_g_cm3": 3.59,
  "lattice_angstrom": [[10.2140, 2.2225, 0.0971], [7.7928, 6.9670, -0.0971], [-8.7499, -5.0915, 2.6061]],
  "species": ["Sb", "K", "K", "Ru"],
  "frac_coords": [[0.7500, 0.2500, 0.5000], [0.3986, 0.3986, 0.0000], [0.1014, 0.1014, 0.0000], [0.2500, 0.7500, 0.5000]]
}

---

{
  "formula": "Nd5ThAu4",
  "functional": "PBE",
  "state": "optimized geometry",
  "formation_energy_ev_per_atom": -0.604,
  "total_energy_ev_per_atom": -5.04,
  "density_g_cm3": 10.66,
  "lattice_angstrom": [[-3.3351, 1.5850, -0.3389], [-1.6203, -3.2401, 0.7918], [0.2251, 4.5745, 19.1800]],
  "species": ["Nd", "Nd", "Nd", "Nd", "Nd", "Au", "Au", "Au", "Au", "Th"],
  "frac_coords": [[0.5000, 0.5000, 0.6898], [0.5000, 0.5000, 0.1225], [0.5000, 0.5000, 0.3102], [0.5000, 0.5000, 0.8775], [0.5000, 0.5000, 0.5000], [0.0000, 0.0000, 0.5950], [0.0000, 0.0000, 0.2174], [0.0000, 0.0000, 0.4050], [0.0000, 0.0000, 0.7826], [0.0000, 0.0000, 0.0000]]
}

---

{
  "formula": "SrGa2Ag9",
  "functional": "PBE",
  "state": "optimized geometry",
  "polymorph_energy_mev_per_atom": 93,
  "formation_energy_ev_per_atom": -0.017,
  "total_energy_ev_per_atom": -2.80,
  "density_g_cm3": 8.51,
  "lattice_angstrom": [[3.2339, 0.0000, 0.0000], [0.0000, 9.1365, 0.0000], [0.0000, -4.5682, 7.9124]],
  "species": ["Ag", "Ag", "Ag", "Ag", "Ag", "Ag", "Ag", "Ag", "Ag", "Sr", "Ga", "Ga"],
  "frac_coords": [[0.5000, 0.1865, 0.3730], [0.5000, 0.8135, 0.1865], [0.5000, 0.3730, 0.1865], [0.5000, 0.1865, 0.8135], [0.0000, 0.5000, 0.5000], [0.5000, 0.8135, 0.6270], [0.0000, 0.0000, 0.5000], [0.0000, 0.5000, 0.0000], [0.5000, 0.6270, 0.8135], [0.0000, 0.0000, 0.0000], [0.0000, 0.6667, 0.3333], [0.0000, 0.3333, 0.6667]]
}

---

{
  "formula": "SmY3Er6",
  "functional": "PBE",
  "state": "optimized geometry",
  "polymorph_energy_mev_per_atom": 0,
  "formation_energy_ev_per_atom": 0.142,
  "total_energy_ev_per_atom": -5.01,
  "density_g_cm3": 7.39,
  "lattice_angstrom": [[-4.9546, 1.7468, 3.1806], [-2.4659, -10.4766, 1.9128], [6.4101, 5.3914, 7.0244]],
  "species": ["Y", "Y", "Y", "Y", "Y", "Y", "Er", "Er", "Er", "Er", "Er", "Er", "Er", "Er", "Er", "Er", "Er", "Er", "Sm", "Sm"],
  "frac_coords": [[0.5679, 0.6091, 0.3909], [0.9585, 0.7198, 0.9363], [0.4585, 0.9363, 0.7198], [0.4585, 0.2802, 0.0637], [0.9585, 0.0637, 0.2802], [0.0679, 0.3909, 0.6091], [0.6383, 0.2844, 0.7156], [0.3654, 0.5407, 0.9632], [0.5276, 0.6168, 0.7123], [0.0276, 0.3832, 0.2877], [0.5276, 0.2877, 0.3832], [0.1383, 0.7156, 0.2844], [0.8654, 0.9632, 0.5407], [0.4237, 0.9520, 0.0480], [0.3654, 0.0368, 0.4593], [0.9237, 0.0480, 0.9520], [0.0276, 0.7123, 0.6168], [0.8654, 0.4593, 0.0368], [0.6523, 0.7916, 0.2084], [0.1523, 0.2084, 0.7916]]
}

---

{
  "formula": "LiCu2H2",
  "functional": "PBE",
  "state": "optimized geometry",
  "polymorph_energy_mev_per_atom": 184,
  "total_energy_ev_per_atom": -3.12,
  "density_g_cm3": 4.23,
  "lattice_angstrom": [[-0.1135, -6.5752, 0.0487], [1.0904, 0.0292, 6.4852], [-2.4362, 0.0451, 0.4094]],
  "species": ["H", "H", "H", "H", "Cu", "Cu", "Cu", "Cu", "Li", "Li"],
  "frac_coords": [[0.2471, 0.2529, 0.5000], [0.2529, 0.7529, 0.5000], [0.7529, 0.7471, 0.5000], [0.7471, 0.2471, 0.5000], [0.8684, 0.6316, 0.0000], [0.6316, 0.1316, 0.0000], [0.1316, 0.3684, 0.0000], [0.3684, 0.8684, 0.0000], [0.5000, 0.5000, 0.0000], [0.0000, 0.0000, 0.0000]]
}

---

{
  "formula": "LaPuHg",
  "functional": "PBE",
  "state": "optimized geometry",
  "polymorph_energy_mev_per_atom": 12,
  "formation_energy_ev_per_atom": -0.096,
  "total_energy_ev_per_atom": -6.62,
  "density_g_cm3": 12.34,
  "lattice_angstrom": [[-1.0686, 0.6645, 3.2092], [-4.4324, 0.1859, 1.1191], [6.4550, -13.0864, -5.2248]],
  "species": ["Hg", "Hg", "Pu", "Pu", "La", "La"],
  "frac_coords": [[0.7499, 0.6990, 0.1325], [0.2972, 0.2846, 0.3006], [0.9097, 0.2758, 0.7111], [0.1354, 0.7088, 0.7222], [0.8477, 0.9094, 0.4979], [0.1980, 0.0748, 0.9353]]
}

---

{
  "formula": "Zn3SiHg",
  "functional": "PBE",
  "state": "optimized geometry",
  "total_energy_ev_per_atom": -1.60,
  "e_form_raw_mev_per_atom": 313,
  "density_g_cm3": 6.23,
  "lattice_angstrom": [[-0.5399, -3.9445, -2.7503], [3.9575, -1.9366, 2.0007], [-2.7316, -2.0261, 3.4421]],
  "species": ["Hg", "Zn", "Zn", "Zn", "Si"],
  "frac_coords": [[0.5000, 0.5000, 0.5000], [0.0000, 0.5000, 0.0000], [0.5000, 0.0000, 0.0000], [0.0000, 0.0000, 0.5000], [0.0000, 0.0000, 0.0000]]
}

---

{
  "formula": "La2Er2Tl3",
  "functional": "PBE",
  "state": "optimized geometry",
  "polymorph_energy_mev_per_atom": 0,
  "formation_energy_ev_per_atom": -0.243,
  "total_energy_ev_per_atom": -3.97,
  "density_g_cm3": 9.54,
  "lattice_angstrom": [[3.5090, 0.0000, 0.4657], [0.0000, 3.6225, 0.0000], [-0.4342, 0.0000, 16.7246]],
  "species": ["Tl", "Tl", "Tl", "La", "La", "Er", "Er"],
  "frac_coords": [[0.1424, 0.0000, 0.7153], [0.0000, 0.0000, 0.0000], [0.8576, 0.0000, 0.2847], [0.5712, 0.5000, 0.8576], [0.4288, 0.5000, 0.1424], [0.2959, 0.5000, 0.4082], [0.7041, 0.5000, 0.5918]]
}

---

{
  "formula": "Tb3Pm2Sc3",
  "functional": "PBE",
  "state": "optimized geometry",
  "polymorph_energy_mev_per_atom": 226,
  "formation_energy_ev_per_atom": 0.260,
  "total_energy_ev_per_atom": -5.04,
  "density_g_cm3": 6.02,
  "lattice_angstrom": [[-0.3400, 4.2002, 4.4825], [-4.8886, 0.1260, 3.7331], [1.7549, -3.3352, 7.4803]],
  "species": ["Sc", "Sc", "Sc", "Tb", "Tb", "Tb", "Pm", "Pm"],
  "frac_coords": [[0.0000, 0.5000, 0.0000], [0.5000, 0.0000, 0.0000], [0.5000, 0.5000, 0.0000], [0.9286, 0.9286, 0.2142], [0.5000, 0.5000, 0.5000], [0.0714, 0.0714, 0.7858], [0.2083, 0.2083, 0.3750], [0.7917, 0.7917, 0.6250]]
}

---

{
  "formula": "Ho3B9Os2",
  "functional": "PBE",
  "state": "optimized geometry",
  "formation_energy_ev_per_atom": -0.194,
  "total_energy_ev_per_atom": -7.07,
  "density_g_cm3": 9.72,
  "lattice_angstrom": [[-2.2467, -1.8309, 1.2434], [2.6871, -1.0016, 7.3799], [-2.6790, 4.5684, 5.8855]],
  "species": ["B", "B", "B", "B", "B", "B", "B", "B", "B", "Ho", "Ho", "Ho", "Os", "Os"],
  "frac_coords": [[0.3641, 0.9612, 0.3106], [0.0000, 0.5000, 0.5000], [0.6359, 0.0388, 0.6894], [0.8679, 0.8785, 0.3857], [0.8679, 0.3857, 0.8785], [0.1321, 0.1215, 0.6143], [0.6359, 0.6894, 0.0388], [0.3641, 0.3106, 0.9612], [0.1321, 0.6143, 0.1215], [0.2701, 0.7299, 0.7299], [0.7299, 0.2701, 0.2701], [0.0000, 0.0000, 0.0000], [0.5000, 0.3235, 0.6765], [0.5000, 0.6765, 0.3235]]
}

---

{
  "formula": "ZrAlCu2",
  "functional": "PBE",
  "state": "optimized geometry",
  "formation_energy_ev_per_atom": -0.102,
  "total_energy_ev_per_atom": -5.22,
  "density_g_cm3": 6.44,
  "lattice_angstrom": [[-4.7077, -2.5438, -0.8258], [-0.2250, -5.3932, 0.4230], [0.9938, 4.7746, 2.3520]],
  "species": ["Cu", "Cu", "Zr", "Al"],
  "frac_coords": [[0.7737, 0.2737, 0.5000], [0.0020, 0.0020, 0.0000], [0.4988, 0.4988, 0.0000], [0.2255, 0.7255, 0.5000]]
}